(1)
# Zr4Cu3Mo | Alexandria | PBE | optimized geometry
data_Zr4Cu3Mo
_symmetry_space_group_name_H-M 'P 4/m m m'
_symmetry_Int_Tables_number 123
_symmetry_space_group_name_Hall '-P 4 2'
_cell_length_a 3.323
_cell_length_b 3.323
_cell_length_c 13.053
_cell_angle_alpha 90.00
_cell_angle_beta 90.00
_cell_angle_gamma 90.00
loop_
_atom_site_label
_atom_site_type_symbol
_atom_site_fract_x
_atom_site_fract_y
_atom_site_fract_z
_atom_site_occupancy
Zr1 Zr 0.000 0.000 0.124 1
Zr2 Zr 0.000 0.000 0.376 1
Cu1 Cu 0.500 0.500 0.000 1
Cu2 Cu 0.500 0.500 0.250 1
Mo1 Mo 0.500 0.500 0.500 1
# E_form = -0.096 eV/atom
# Total energy = -7.260 eV per atom
# Size of the total moment = 0.85 μB/f.u.

***

(2)
# ZrCuMo2 | Alexandria | PBE | optimized geometry
data_ZrCuMo2
_symmetry_space_group_name_H-M 'C m m 2'
_symmetry_Int_Tables_number 35
_symmetry_space_group_name_Hall 'C 2 -2'
_cell_length_a 3.282
_cell_length_b 4.524
_cell_length_c 8.889
_cell_angle_alpha 90.00
_cell_angle_beta 90.00
_cell_angle_gamma 90.00
loop_
_atom_site_label
_atom_site_type_symbol
_atom_site_fract_x
_atom_site_fract_y
_atom_site_fract_z
_atom_site_occupancy
Zr1 Zr 0.000 0.000 0.000 1
Cu1 Cu 0.000 0.500 0.257 1
Mo1 Mo 0.000 0.000 0.488 1
Mo2 Mo 0.000 0.500 0.726 1
# E_form = 0.127 eV/atom
# Total energy = -8.449 eV per atom
# Size of the total moment = 0.00 μB/f.u.
# Polymorph energy (0 for the lowest one) = 108 meV/atom

***

(3)
# ZrCu2Mo2 | Alexandria | PBE | optimized geometry
data_ZrCu2Mo2
_symmetry_space_group_name_H-M 'I 4/m m m'
_symmetry_Int_Tables_number 139
_symmetry_space_group_name_Hall '-I 4 2'
_cell_length_a 3.863
_cell_length_b 3.863
_cell_length_c 11.458
_cell_angle_alpha 90.00
_cell_angle_beta 90.00
_cell_angle_gamma 90.00
loop_
_atom_site_label
_atom_site_type_symbol
_atom_site_fract_x
_atom_site_fract_y
_atom_site_fract_z
_atom_site_occupancy
Zr1 Zr 0.000 0.000 0.000 1
Cu1 Cu 0.000 0.500 0.250 1
Mo1 Mo 0.000 0.000 0.399 1
# E_form = 0.358 eV/atom
# Total energy = -7.323 eV per atom
# Size of the total moment = 0.00 μB/f.u.

***

(4)
# ZrCuMo2 | Alexandria | PBE | optimized geometry
data_ZrCuMo2
_symmetry_space_group_name_H-M 'I -4 m 2'
_symmetry_Int_Tables_number 119
_symmetry_space_group_name_Hall 'I -4 -2'
_cell_length_a 4.541
_cell_length_b 4.541
_cell_length_c 6.412
_cell_angle_alpha 90.00
_cell_angle_beta 90.00
_cell_angle_gamma 90.00
loop_
_atom_site_label
_atom_site_type_symbol
_atom_site_fract_x
_atom_site_fract_y
_atom_site_fract_z
_atom_site_occupancy
Zr1 Zr 0.000 0.000 0.000 1
Cu1 Cu 0.000 0.500 0.750 1
Mo1 Mo 0.000 0.000 0.500 1
Mo2 Mo 0.000 0.500 0.250 1
# E_form = 0.115 eV/atom
# Total energy = -8.462 eV per atom
# Size of the total moment = 0.00 μB/f.u.
# Polymorph energy (0 for the lowest one) = 95 meV/atom

***

(5)
# ZrCuMo | Alexandria | PBE | optimized geometry
data_ZrCuMo
_symmetry_space_group_name_H-M 'F m m 2'
_symmetry_Int_Tables_number 42
_symmetry_space_group_name_Hall 'F 2 -2'
_cell_length_a 3.766
_cell_length_b 4.123
_cell_length_c 12.825
_cell_angle_alpha 90.00
_cell_angle_beta 90.00
_cell_angle_gamma 90.00
loop_
_atom_site_label
_atom_site_type_symbol
_atom_site_fract_x
_atom_site_fract_y
_atom_site_fract_z
_atom_site_occupancy
Zr1 Zr 0.000 0.000 0.000 1
Cu1 Cu 0.000 0.000 0.333 1
Mo1 Mo 0.000 0.000 0.686 1
# E_form = 0.155 eV/atom
# Total energy = -7.670 eV per atom
# Size of the total moment = 0.00 μB/f.u.
# Polymorph energy (0 for the lowest one) = 229 meV/atom

***

(6)
# ZrCuMo2 | Alexandria | PBE | optimized geometry
data_ZrCuMo2
_symmetry_space_group_name_H-M 'P 1 m 1'
_symmetry_Int_Tables_number 6
_symmetry_space_group_name_Hall 'P -2y'
_cell_length_a 2.753
_cell_length_b 4.300
_cell_length_c 5.787
_cell_angle_alpha 90.00
_cell_angle_beta 102.45
_cell_angle_gamma 90.00
loop_
_atom_site_label
_atom_site_type_symbol
_atom_site_fract_x
_atom_site_fract_y
_atom_site_fract_z
_atom_site_occupancy
Zr1 Zr 0.000 0.000 0.000 1
Cu1 Cu 0.586 0.500 0.256 1
Mo1 Mo 0.127 0.000 0.510 1
Mo2 Mo 0.502 0.500 0.719 1
# E_form = 0.155 eV/atom
# Total energy = -8.422 eV per atom
# Size of the total moment = 0.00 μB/f.u.
# Polymorph energy (0 for the lowest one) = 135 meV/atom

***

(7)
# ZrCuMo2 | Alexandria | PBE | optimized geometry
data_ZrCuMo2
_symmetry_space_group_name_H-M 'P 4/m m m'
_symmetry_Int_Tables_number 123
_symmetry_space_group_name_Hall '-P 4 2'
_cell_length_a 2.738
_cell_length_b 2.738
_cell_length_c 8.765
_cell_angle_alpha 90.00
_cell_angle_beta 90.00
_cell_angle_gamma 90.00
loop_
_atom_site_label
_atom_site_type_symbol
_atom_site_fract_x
_atom_site_fract_y
_atom_site_fract_z
_atom_site_occupancy
Zr1 Zr 0.000 0.000 0.000 1
Cu1 Cu 0.000 0.000 0.500 1
Mo1 Mo 0.500 0.500 0.280 1
# E_form = 0.248 eV/atom
# Total energy = -8.329 eV per atom
# Size of the total moment = 0.00 μB/f.u.
# Polymorph energy (0 for the lowest one) = 228 meV/atom

***

(8)
# ZrCuMo2 | Alexandria | PBE | optimized geometry
data_ZrCuMo2
_symmetry_space_group_name_H-M 'P 4 m m'
_symmetry_Int_Tables_number 99
_symmetry_space_group_name_Hall 'P 4 -2'
_cell_length_a 3.269
_cell_length_b 3.269
_cell_length_c 6.188
_cell_angle_alpha 90.00
_cell_angle_beta 90.00
_cell_angle_gamma 90.00
loop_
_atom_site_label
_atom_site_type_symbol
_atom_site_fract_x
_atom_site_fract_y
_atom_site_fract_z
_atom_site_occupancy
Zr1 Zr 0.000 0.000 0.000 1
Cu1 Cu 0.500 0.500 0.260 1
Mo1 Mo 0.000 0.000 0.494 1
Mo2 Mo 0.500 0.500 0.718 1
# E_form = 0.020 eV/atom
# Total energy = -8.557 eV per atom
# Size of the total moment = 0.00 μB/f.u.
# Polymorph energy (0 for the lowest one) = 0 meV/atom

***

(9)
# ZrCuMo2 | Alexandria | PBE | optimized geometry
data_ZrCuMo2
_symmetry_space_group_name_H-M 'P m m m'
_symmetry_Int_Tables_number 47
_symmetry_space_group_name_Hall '-P 2 2'
_cell_length_a 2.608
_cell_length_b 4.349
_cell_length_c 5.893
_cell_angle_alpha 90.00
_cell_angle_beta 90.00
_cell_angle_gamma 90.00
loop_
_atom_site_label
_atom_site_type_symbol
_atom_site_fract_x
_atom_site_fract_y
_atom_site_fract_z
_atom_site_occupancy
Zr1 Zr 0.000 0.000 0.000 1
Cu1 Cu 0.000 0.000 0.500 1
Mo1 Mo 0.500 0.500 0.282 1
# E_form = 0.341 eV/atom
# Total energy = -8.235 eV per atom
# Size of the total moment = 0.00 μB/f.u.
# Polymorph energy (0 for the lowest one) = 322 meV/atom

***

(10)
# Cu2N | Alexandria | PBE | optimized geometry
data_Cu2N
_symmetry_space_group_name_H-M 'P 4/m m m'
_symmetry_Int_Tables_number 123
_symmetry_space_group_name_Hall '-P 4 2'
_cell_length_a 2.928
_cell_length_b 2.928
_cell_length_c 3.777
_cell_angle_alpha 90.00
_cell_angle_beta 90.00
_cell_angle_gamma 90.00
loop_
_atom_site_label
_atom_site_type_symbol
_atom_site_fract_x
_atom_site_fract_y
_atom_site_fract_z
_atom_site_occupancy
Cu1 Cu 0.000 0.000 0.000 1
Cu2 Cu 0.500 0.500 0.500 1
N1 N 0.000 0.000 0.500 1
# Total energy = -5.036 eV per atom
# Size of the total moment = 0.00 μB/f.u.
# Uncorrected formation energy = 0.47 eV/atom

***

(11)
# Cu10N3 | Alexandria | PBE | optimized geometry
data_Cu10N3
_symmetry_space_group_name_H-M 'P -3 m 1'
_symmetry_Int_Tables_number 164
_symmetry_space_group_name_Hall '-P 3 2"'
_cell_length_a 5.4105
_cell_length_b 5.4105
_cell_length_c 6.6284
_cell_angle_alpha 90.00
_cell_angle_beta 90.00
_cell_angle_gamma 120.00
loop_
_atom_site_label
_atom_site_type_symbol
_atom_site_fract_x
_atom_site_fract_y
_atom_site_fract_z
_atom_site_occupancy
Cu1 Cu 0.0000 0.0000 0.0000 1
Cu2 Cu 0.0000 0.5000 0.0000 1
Cu3 Cu 0.1634 0.3269 0.3280 1
N1 N 0.0000 0.0000 0.5000 1
N2 N 0.3333 0.6667 0.1718 1
# Total energy = -4.793 eV per atom
# Size of the total moment = 0.00 μB/f.u.
# Uncorrected formation energy = 0.28 eV/atom

***

(12)
# CuN4 | Alexandria | PBE | optimized geometry
data_CuN4
_symmetry_space_group_name_H-M 'P m -3 m'
_symmetry_Int_Tables_number 221
_symmetry_space_group_name_Hall '-P 4 2 3'
_cell_length_a 3.881
_cell_length_b 3.881
_cell_length_c 3.881
_cell_angle_alpha 90.00
_cell_angle_beta 90.00
_cell_angle_gamma 90.00
loop_
_atom_site_label
_atom_site_type_symbol
_atom_site_fract_x
_atom_site_fract_y
_atom_site_fract_z
_atom_site_occupancy
Cu1 Cu 0.000 0.000 0.000 1
N1 N 0.000 0.000 0.500 1
N2 N 0.500 0.500 0.500 1
# Total energy = -4.291 eV per atom
# Size of the total moment = 3.18 μB/f.u.
# Uncorrected formation energy = 3.19 eV/atom

***

(13)
# Cu2N | Alexandria | PBE | optimized geometry
data_Cu2N
_symmetry_space_group_name_H-M 'P 4/n m m'
_symmetry_Int_Tables_number 129
_cell_length_a 3.542
_cell_length_b 3.542
_cell_length_c 5.100
_cell_angle_alpha 90.00
_cell_angle_beta 90.00
_cell_angle_gamma 90.00
loop_
_symmetry_equiv_pos_as_xyz
'x,y,z'
'-x,-y,-z'
'-y+1/2,x,z'
'y+1/2,-x,-z'
'-x+1/2,-y+1/2,z'
'x+1/2,y+1/2,-z'
'y,-x+1/2,z'
'-y,x+1/2,-z'
'x+1/2,-y,-z'
'-x+1/2,y,z'
'-y,-x,-z'
'y,x,z'
'-x,y+1/2,-z'
'x,-y+1/2,z'
'y+1/2,x+1/2,-z'
'-y+1/2,-x+1/2,z'
loop_
_atom_site_label
_atom_site_type_symbol
_atom_site_fract_x
_atom_site_fract_y
_atom_site_fract_z
_atom_site_occupancy
Cu1 Cu 0.250 0.250 0.090 1
Cu2 Cu 0.250 0.750 0.500 1
N1 N 0.250 0.250 0.719 1
# Total energy = -4.714 eV per atom
# Size of the total moment = 0.00 μB/f.u.
# Uncorrected formation energy = 0.79 eV/atom

***

(14)
# Na3CuN | Alexandria | PBE | optimized geometry
data_Na3CuN
_symmetry_space_group_name_H-M 'P m -3 m'
_symmetry_Int_Tables_number 221
_symmetry_space_group_name_Hall '-P 4 2 3'
_cell_length_a 4.726
_cell_length_b 4.726
_cell_length_c 4.726
_cell_angle_alpha 90.00
_cell_angle_beta 90.00
_cell_angle_gamma 90.00
loop_
_atom_site_label
_atom_site_type_symbol
_atom_site_fract_x
_atom_site_fract_y
_atom_site_fract_z
_atom_site_occupancy
Na1 Na 0.000 0.000 0.500 1
Cu1 Cu 0.500 0.500 0.500 1
N1 N 0.000 0.000 0.000 1
# Total energy = -2.778 eV per atom
# Size of the total moment = 1.00 μB/f.u.
# Uncorrected formation energy = 0.50 eV/atom
# Polymorph energy (0 for the lowest one) = 0 meV/atom

***

(15)
# NaCuN | Alexandria | PBE | optimized geometry
data_NaCuN
_symmetry_space_group_name_H-M 'P -6 m 2'
_symmetry_Int_Tables_number 187
_symmetry_space_group_name_Hall 'P -6 2'
_cell_length_a 3.3099
_cell_length_b 3.3099
_cell_length_c 4.1989
_cell_angle_alpha 90.00
_cell_angle_beta 90.00
_cell_angle_gamma 120.00
loop_
_atom_site_label
_atom_site_type_symbol
_atom_site_fract_x
_atom_site_fract_y
_atom_site_fract_z
_atom_site_occupancy
Na1 Na 0.0000 0.0000 0.0000 1
Cu1 Cu 0.6667 0.3333 0.5000 1
N1 N 0.3333 0.6667 0.5000 1
# Total energy = -4.306 eV per atom
# Size of the total moment = 0.00 μB/f.u.
# Uncorrected formation energy = 0.27 eV/atom
# Polymorph energy (0 for the lowest one) = 20 meV/atom

***

(16)
# NaCuN | Alexandria | PBE | optimized geometry
data_NaCuN
_symmetry_space_group_name_H-M 'P 4/m m m'
_symmetry_Int_Tables_number 123
_symmetry_space_group_name_Hall '-P 4 2'
_cell_length_a 4.017
_cell_length_b 4.017
_cell_length_c 3.446
_cell_angle_alpha 90.00
_cell_angle_beta 90.00
_cell_angle_gamma 90.00
loop_
_atom_site_label
_atom_site_type_symbol
_atom_site_fract_x
_atom_site_fract_y
_atom_site_fract_z
_atom_site_occupancy
Na1 Na 0.000 0.000 0.000 1
Cu1 Cu 0.500 0.500 0.000 1
N1 N 0.500 0.500 0.500 1
# Total energy = -4.157 eV per atom
# Size of the total moment = 0.00 μB/f.u.
# Uncorrected formation energy = 0.42 eV/atom
# Polymorph energy (0 for the lowest one) = 169 meV/atom

***

(17)
# NaCuN | Alexandria | PBE | optimized geometry
data_NaCuN
_symmetry_space_group_name_H-M 'P n m a'
_symmetry_Int_Tables_number 62
_symmetry_space_group_name_Hall '-P 2ac 2n'
_cell_length_a 8.738
_cell_length_b 3.551
_cell_length_c 5.880
_cell_angle_alpha 90.00
_cell_angle_beta 90.00
_cell_angle_gamma 90.00
loop_
_atom_site_label
_atom_site_type_symbol
_atom_site_fract_x
_atom_site_fract_y
_atom_site_fract_z
_atom_site_occupancy
Na1 Na 0.163 0.250 0.062 1
Cu1 Cu 0.047 0.250 0.619 1
N1 N 0.072 0.750 0.702 1
# Total energy = -4.326 eV per atom
# Size of the total moment = 0.00 μB/f.u.
# Uncorrected formation energy = 0.25 eV/atom
# Polymorph energy (0 for the lowest one) = 0 meV/atom

***

(18)
# NaCuN | Alexandria | PBE | optimized geometry
data_NaCuN
_symmetry_space_group_name_H-M 'P 4/n m m'
_symmetry_Int_Tables_number 129
_cell_length_a 3.588
_cell_length_b 3.588
_cell_length_c 5.780
_cell_angle_alpha 90.00
_cell_angle_beta 90.00
_cell_angle_gamma 90.00
loop_
_symmetry_equiv_pos_as_xyz
'x,y,z'
'-x,-y,-z'
'-y+1/2,x,z'
'y+1/2,-x,-z'
'-x+1/2,-y+1/2,z'
'x+1/2,y+1/2,-z'
'y,-x+1/2,z'
'-y,x+1/2,-z'
'x+1/2,-y,-z'
'-x+1/2,y,z'
'-y,-x,-z'
'y,x,z'
'-x,y+1/2,-z'
'x,-y+1/2,z'
'y+1/2,x+1/2,-z'
'-y+1/2,-x+1/2,z'
loop_
_atom_site_label
_atom_site_type_symbol
_atom_site_fract_x
_atom_site_fract_y
_atom_site_fract_z
_atom_site_occupancy
Na1 Na 0.250 0.250 0.129 1
Cu1 Cu 0.250 0.750 0.500 1
N1 N 0.250 0.250 0.690 1
# Total energy = -4.141 eV per atom
# Size of the total moment = 0.00 μB/f.u.
# Uncorrected formation energy = 0.44 eV/atom
# Polymorph energy (0 for the lowest one) = 185 meV/atom

***

(19)
# NaCuN | Alexandria | PBE | optimized geometry
data_NaCuN
_symmetry_space_group_name_H-M 'P 63 m c'
_symmetry_Int_Tables_number 186
_symmetry_space_group_name_Hall 'P 6c -2c'
_cell_length_a 3.3076
_cell_length_b 3.3076
_cell_length_c 8.7239
_cell_angle_alpha 90.00
_cell_angle_beta 90.00
_cell_angle_gamma 120.00
loop_
_atom_site_label
_atom_site_type_symbol
_atom_site_fract_x
_atom_site_fract_y
_atom_site_fract_z
_atom_site_occupancy
Na1 Na 0.3333 0.6667 0.0000 1
Cu1 Cu 0.0000 0.0000 0.2657 1
N1 N 0.3333 0.6667 0.2858 1
# Total energy = -4.290 eV per atom
# Size of the total moment = 0.00 μB/f.u.
# Uncorrected formation energy = 0.29 eV/atom
# Polymorph energy (0 for the lowest one) = 36 meV/atom

***

(20)
# NaPa2CuN4 | Alexandria | PBE | optimized geometry
data_NaPa2CuN4
_symmetry_space_group_name_H-M 'I -4 2 m'
_symmetry_Int_Tables_number 121
_symmetry_space_group_name_Hall 'I -4 2'
_cell_length_a 5.673
_cell_length_b 5.673
_cell_length_c 7.023
_cell_angle_alpha 90.00
_cell_angle_beta 90.00
_cell_angle_gamma 90.00
loop_
_atom_site_label
_atom_site_type_symbol
_atom_site_fract_x
_atom_site_fract_y
_atom_site_fract_z
_atom_site_occupancy
Na1 Na 0.000 0.000 0.000 1
Pa1 Pa 0.000 0.500 0.250 1
Cu1 Cu 0.000 0.000 0.500 1
N1 N 0.235 0.235 0.615 1
# Total energy = -8.005 eV per atom
# Size of the total moment = 0.00 μB/f.u.
# Uncorrected formation energy = -0.79 eV/atom